# GGA-PBE Tb3Er2In, relaxed
# **N(E_F)**: 1.1257 states/eV per atom
# **Theoretical density**: 8.7 g cm⁻³
# **Crystal system**: orthorhombic
data_Tb3Er2In
_chemical_formula_sum 'Tb6 Er4 In2'
_cell_length_a 4.8775
_cell_length_b 15.0091
_cell_length_c 4.8439
_cell_angle_alpha 90.00
_cell_angle_beta 90.00
_cell_angle_gamma 90.00
_symmetry_space_group_name_H-M 'C m m m'
_symmetry_Int_Tables_number 65
_symmetry_space_group_name_Hall '-C 2 2'
loop_
_atom_site_label
_atom_site_type_symbol
_atom_site_fract_x
_atom_site_fract_y
_atom_site_fract_z
Tb1 Tb 0.0000 0.0000 0.0000
Tb2 Tb 0.0000 0.3314 0.0000
Er1 Er 0.0000 0.1625 0.5000
In1 In 0.0000 0.5000 0.5000



# GGA-PBE Tb5Er3In4, relaxed
# **N(E_F)**: 0.9640 states/eV per atom
# **Theoretical density**: 8.2 g cm⁻³
# **Crystal system**: monoclinic
data_Tb5Er3In4
_chemical_formula_sum 'Tb10 Er6 In8'
_cell_length_a 13.1136
_cell_length_b 5.8506
_cell_length_c 9.2822
_cell_angle_alpha 90.00
_cell_angle_beta 91.47
_cell_angle_gamma 90.00
_symmetry_space_group_name_H-M 'C 1 2/m 1'
_symmetry_Int_Tables_number 12
loop_
_symmetry_equiv_pos_as_xyz
'x,y,z'
'-x,-y,-z'
'-x,y,-z'
'x,-y,z'
'x+1/2,y+1/2,z'
'-x+1/2,-y+1/2,-z'
'-x+1/2,y+1/2,-z'
'x+1/2,-y+1/2,z'
loop_
_atom_site_label
_atom_site_type_symbol
_atom_site_fract_x
_atom_site_fract_y
_atom_site_fract_z
Tb1 Tb 0.0000 0.0000 0.0000
Tb2 Tb 0.0924 0.5000 0.6171
Tb3 Tb 0.1000 0.0000 0.3937
Er1 Er 0.0000 0.5000 0.0000
Er2 Er 0.2505 0.0000 0.0919
In1 In 0.1393 0.0000 0.7482
In2 In 0.1441 0.5000 0.2586



# GGA-PBE Tb2Er6In, relaxed
# **N(E_F)**: 1.5891 states/eV per atom
# **Theoretical density**: 8.7 g cm⁻³
# **Crystal system**: monoclinic
data_Tb2Er6In
_chemical_formula_sum 'Tb8 Er24 In4'
_cell_length_a 12.3625
_cell_length_b 14.6166
_cell_length_c 6.5124
_cell_angle_alpha 90.00
_cell_angle_beta 111.12
_cell_angle_gamma 90.00
_symmetry_space_group_name_H-M 'C 1 2/c 1'
_symmetry_Int_Tables_number 15
loop_
_symmetry_equiv_pos_as_xyz
'x,y,z'
'-x,-y,-z'
'-x,y,-z+1/2'
'x,-y,z+1/2'
'x+1/2,y+1/2,z'
'-x+1/2,-y+1/2,-z'
'-x+1/2,y+1/2,-z+1/2'
'x+1/2,-y+1/2,z+1/2'
loop_
_atom_site_label
_atom_site_type_symbol
_atom_site_fract_x
_atom_site_fract_y
_atom_site_fract_z
Tb1 Tb 0.1106 0.0771 0.0056
Er1 Er 0.1304 0.3074 0.9180
Er2 Er 0.1410 0.4765 0.5755
Er3 Er 0.1697 0.1617 0.5469
In1 In 0.0000 0.3200 0.2500



# GGA-PBE Tb2ErIn, relaxed
# **N(E_F)**: 1.2309 states/eV per atom
# **Theoretical density**: 8.2 g cm⁻³
# **Crystal system**: trigonal
data_Tb2ErIn
_chemical_formula_sum 'Tb6 Er3 In3'
_cell_length_a 3.5913
_cell_length_b 3.5913
_cell_length_c 32.5113
_cell_angle_alpha 90.00
_cell_angle_beta 90.00
_cell_angle_gamma 120.00
_symmetry_space_group_name_H-M 'R 3 m'
_symmetry_Int_Tables_number 160
_symmetry_space_group_name_Hall 'R 3 -2"'
loop_
_atom_site_label
_atom_site_type_symbol
_atom_site_fract_x
_atom_site_fract_y
_atom_site_fract_z
Tb1 Tb 0.0000 0.0000 0.0000
Tb2 Tb 0.0000 0.0000 0.1754
Er1 Er 0.0000 0.0000 0.4210
In1 In 0.0000 0.0000 0.5874



no.,calculated formation energy (eV/atom),electronic total energy (eV for the cell shown)
1,-0.16,-53.5
2,-0.06,-97.1
3,0.01,-157.0
4,-0.14,-51.4